Here is a geometry-optimized AuBrN2O structure from Alexandria via LeMat-Bulk. Energies are from PBE.

Output
The space-group type is P4/mmm, No. 123. The calculation puts the uncorrected formation energy at 2234.7 meV/atom.

```
AuBrN2O
1.0
4.2258 0.0000 0.0000
0.0000 4.2258 0.0000
0.0000 0.0000 3.7390
Au Br N O
1 1 2 1
Direct
0.0000 0.0000 0.0000
0.5000 0.5000 0.5000
0.0000 0.5000 0.5000
0.5000 0.0000 0.5000
0.5000 0.5000 0.0000
```

=====

Here is a geometry-optimized AuBrN2O structure from Alexandria via LeMat-Bulk. Energies are from PBE.

Output
The space-group type is P4/mmm, No. 123. The calculation puts the uncorrected formation energy at 1955.7 meV/atom.

```
AuBrN2O
1.0
4.1851 0.0000 0.0000
0.0000 4.1851 0.0000
0.0000 0.0000 4.3746
Au Br N O
1 1 2 1
Direct
0.0000 0.0000 0.0000
0.5000 0.5000 0.5000
0.0000 0.5000 0.0000
0.5000 0.0000 0.0000
0.0000 0.0000 0.5000
```

=====

Here is a geometry-optimized Pt2AuBrN structure from Alexandria via LeMat-Bulk. Energies are from PBE.

Output
The space-group type is P4/mmm, No. 123. The calculation puts the uncorrected formation energy at 546.1 meV/atom.

```
Pt2AuBrN
1.0
3.9032 0.0000 0.0000
0.0000 3.9032 0.0000
0.0000 0.0000 8.2002
Pt Au Br N
2 1 1 1
Direct
0.0000 0.5000 0.0000
0.5000 0.0000 0.0000
0.0000 0.0000 0.5000
0.5000 0.5000 0.5000
0.0000 0.0000 0.0000
```